No. 1
## Ho2Tm6Sc (PBE-GGA)

Data for a relaxed structure of Ho2Tm6Sc.

## Properties
**Energy of formation from the pure elements**: 1.53 eV per formula unit

```
Ho2Tm6Sc
1.0
7.095 -6.077 0.000
7.095 6.077 0.000
-2.749 0.000 6.326
Ho Tm Sc
4 12 2
direct
0.161 0.196 0.389 Ho
0.196 0.161 0.889 Ho
0.804 0.839 0.111 Ho
0.839 0.804 0.611 Ho
0.058 0.493 0.771 Tm
0.138 0.849 0.481 Tm
0.151 0.862 0.019 Tm
0.320 0.464 0.274 Tm
0.464 0.320 0.774 Tm
0.493 0.058 0.271 Tm
0.507 0.942 0.729 Tm
0.536 0.680 0.226 Tm
0.680 0.536 0.726 Tm
0.849 0.138 0.981 Tm
0.862 0.151 0.519 Tm
0.942 0.507 0.229 Tm
0.345 0.655 0.750 Sc
0.655 0.345 0.250 Sc
```

No. 2
## ZrZnRe2 (PBE-GGA)

Data for a relaxed structure of ZrZnRe2.

## Properties
**Energy of formation from the pure elements**: 0.24 eV per formula unit

```
ZrZnRe2
1.0
2.902 0.000 0.000
0.000 4.035 0.000
0.000 0.000 5.631
Zr Zn Re
1 1 2
direct
0.000 0.000 0.000 Zr
0.500 0.500 0.745 Zn
0.000 0.000 0.480 Re
0.500 0.500 0.278 Re
```

No. 3
## ZnBiAsAu2 (PBE-GGA)

Data for a relaxed structure of ZnBiAsAu2.

## Properties
**Energy of formation from the pure elements**: 4.07 eV per formula unit

```
ZnBiAsAu2
1.0
5.418 0.000 0.000
0.000 5.418 0.000
0.000 0.000 5.658
Zn Bi As Au
1 1 1 2
direct
0.000 0.000 0.000 Zn
0.500 0.500 0.500 Bi
0.500 0.500 0.000 As
0.000 0.500 0.500 Au
0.500 0.000 0.500 Au
```

No. 4
## MgNiSbPd (PBE-GGA)

Data for a relaxed structure of MgNiSbPd.

## Properties
**ΔE_f (raw)**: -392 meV/atom

```
MgNiSbPd
1.0
0.000 3.198 3.198
3.198 0.000 3.198
3.198 3.198 0.000
Mg Ni Sb Pd
1 1 1 1
direct
0.000 0.000 0.000 Mg
0.250 0.250 0.250 Ni
0.500 0.500 0.500 Sb
0.750 0.750 0.750 Pd
```

No. 5
## KInPb2 (PBE-GGA)

Data for a relaxed structure of KInPb2.

## Properties
**Energy of formation from the pure elements**: -0.39 eV per formula unit

```
KInPb2
1.0
4.089 0.000 0.000
0.000 4.089 0.000
0.000 0.000 8.021
K In Pb
1 1 2
direct
0.000 0.000 0.000 K
0.000 0.000 0.500 In
0.500 0.500 0.304 Pb
0.500 0.500 0.696 Pb
```

No. 6
## LaHo2Er3Se6 (PBE-GGA)

Data for a relaxed structure of LaHo2Er3Se6.

## Properties
**ΔE_f (raw)**: -1751 meV/atom

```
LaHo2Er3Se6
1.0
3.525 -6.138 0.000
3.525 6.138 0.000
-2.367 0.000 6.704
La Ho Er Se
1 2 3 6
direct
0.000 0.000 0.000 La
0.333 0.667 0.000 Ho
0.667 0.333 0.000 Ho
0.160 0.840 0.500 Er
0.500 0.500 0.500 Er
0.840 0.160 0.500 Er
0.087 0.433 0.261 Se
0.261 0.261 0.746 Se
0.433 0.087 0.261 Se
0.567 0.913 0.739 Se
0.739 0.739 0.254 Se
0.913 0.567 0.739 Se
```

No. 7
## Ca12Mg3N5 (PBE-GGA)

Data for a relaxed structure of Ca12Mg3N5.

## Properties
**ΔE_f (raw)**: -342 meV/atom

```
Ca12Mg3N5
1.0
-8.121 8.121 8.121
8.121 -8.121 8.121
8.121 8.121 -8.121
Ca Mg N
48 12 20
direct
0.002 0.188 0.105 Ca
0.002 0.314 0.897 Ca
0.083 0.688 0.686 Ca
0.083 0.895 0.397 Ca
0.103 0.605 0.417 Ca
0.103 0.998 0.686 Ca
0.105 0.002 0.188 Ca
0.105 0.603 0.917 Ca
0.186 0.188 0.583 Ca
0.186 0.498 0.603 Ca
0.188 0.105 0.002 Ca
0.188 0.583 0.186 Ca
0.312 0.314 0.917 Ca
0.312 0.498 0.395 Ca
0.314 0.897 0.002 Ca
0.314 0.917 0.312 Ca
0.395 0.312 0.498 Ca
0.395 0.583 0.897 Ca
0.397 0.083 0.895 Ca
0.397 0.814 0.502 Ca
0.417 0.103 0.605 Ca
0.417 0.814 0.812 Ca
0.498 0.395 0.312 Ca
0.498 0.603 0.186 Ca
0.502 0.397 0.814 Ca
0.502 0.605 0.688 Ca
0.583 0.186 0.188 Ca
0.583 0.897 0.395 Ca
0.603 0.186 0.498 Ca
0.603 0.917 0.105 Ca
0.605 0.417 0.103 Ca
0.605 0.688 0.502 Ca
0.686 0.083 0.688 Ca
0.686 0.103 0.998 Ca
0.688 0.502 0.605 Ca
0.688 0.686 0.083 Ca
0.812 0.417 0.814 Ca
0.812 0.895 0.998 Ca
0.814 0.502 0.397 Ca
0.814 0.812 0.417 Ca
0.895 0.397 0.083 Ca
0.895 0.998 0.812 Ca
0.897 0.002 0.314 Ca
0.897 0.395 0.583 Ca
0.917 0.105 0.603 Ca
0.917 0.312 0.314 Ca
0.998 0.686 0.103 Ca
0.998 0.812 0.895 Ca
0.125 0.250 0.375 Mg
0.125 0.375 0.750 Mg
0.250 0.375 0.125 Mg
0.250 0.875 0.625 Mg
0.375 0.125 0.250 Mg
0.375 0.750 0.125 Mg
0.625 0.250 0.875 Mg
0.625 0.875 0.750 Mg
0.750 0.125 0.375 Mg
0.750 0.625 0.875 Mg
0.875 0.625 0.250 Mg
0.875 0.750 0.625 Mg
0.000 0.000 0.000 N
0.000 0.000 0.500 N
0.000 0.500 0.000 N
0.000 0.500 0.500 N
0.125 0.750 0.875 N
0.125 0.875 0.250 N
0.250 0.125 0.875 N
0.250 0.625 0.375 N
0.375 0.250 0.625 N
0.375 0.625 0.750 N
0.500 0.000 0.000 N
0.500 0.000 0.500 N
0.500 0.500 0.000 N
0.500 0.500 0.500 N
0.625 0.375 0.250 N
0.625 0.750 0.375 N
0.750 0.375 0.625 N
0.750 0.875 0.125 N
0.875 0.125 0.750 N
0.875 0.250 0.125 N
```

No. 8
## LiHo2ErRh4 (PBE-GGA)

Data for a relaxed structure of LiHo2ErRh4.

## Properties
**Energy of formation from the pure elements**: -6.01 eV per formula unit

```
LiHo2ErRh4
1.0
2.343 1.353 7.665
-2.343 1.353 7.665
0.000 -2.705 7.665
Li Ho Er Rh
1 2 1 4
direct
0.000 0.000 0.000 Li
0.258 0.258 0.258 Ho
0.742 0.742 0.742 Ho
0.500 0.500 0.500 Er
0.124 0.124 0.124 Rh
0.377 0.377 0.377 Rh
0.623 0.623 0.623 Rh
0.876 0.876 0.876 Rh
```

No. 9
## Pm5Te2As2 (PBE-GGA)

Data for a relaxed structure of Pm5Te2As2.

## Properties
**ΔE_f (raw)**: -1275 meV/atom

```
Pm5Te2As2
1.0
7.779 -4.031 0.000
7.779 4.031 0.000
0.000 0.000 8.049
Pm Te As
10 4 4
direct
0.000 0.000 0.000 Pm
0.031 0.716 0.658 Pm
0.216 0.531 0.158 Pm
0.284 0.969 0.658 Pm
0.469 0.784 0.158 Pm
0.500 0.500 0.500 Pm
0.531 0.216 0.842 Pm
0.716 0.031 0.342 Pm
0.784 0.469 0.842 Pm
0.969 0.284 0.342 Pm
0.202 0.202 0.000 Te
0.298 0.298 0.500 Te
0.702 0.702 0.500 Te
0.798 0.798 0.000 Te
0.146 0.854 0.356 As
0.354 0.646 0.856 As
0.646 0.354 0.144 As
0.854 0.146 0.644 As
```

No. 10
## In2HgSb (PBE-GGA)

Data for a relaxed structure of In2HgSb.

## Properties
**ΔE_f (raw)**: 3 meV/atom

```
In2HgSb
1.0
0.000 3.821 3.821
3.821 0.000 3.821
3.821 3.821 0.000
In Hg Sb
2 1 1
direct
0.250 0.250 0.250 In
0.750 0.750 0.750 In
0.000 0.000 0.000 Hg
0.500 0.500 0.500 Sb
```

No. 11
## Li2AgOs (PBE-GGA)

Data for a relaxed structure of Li2AgOs.

## Properties
**Energy of formation from the pure elements**: 1.00 eV per formula unit

```
Li2AgOs
1.0
1.398 -2.302 0.000
1.398 2.302 0.000
0.000 0.000 9.727
Li Ag Os
2 1 1
direct
0.000 0.000 0.000 Li
0.500 0.500 0.273 Li
0.500 0.500 0.764 Ag
0.000 0.000 0.500 Os
```

No. 12
## CsLi2TlSn (PBE-GGA)

Data for a relaxed structure of CsLi2TlSn.

## Properties
**Energy of formation from the pure elements**: -0.51 eV per formula unit

```
CsLi2TlSn
1.0
5.546 0.000 0.000
0.000 5.546 0.000
0.000 0.000 5.960
Cs Li Tl Sn
1 2 1 1
direct
0.000 0.000 0.000 Cs
0.000 0.500 0.500 Li
0.500 0.000 0.500 Li
0.500 0.500 0.000 Tl
0.500 0.500 0.500 Sn
```

No. 13
## Li2InSiO4 (PBE-GGA)

Data for a relaxed structure of Li2InSiO4.

## Properties
**ΔE_f (raw)**: -2098 meV/atom

```
Li2InSiO4
1.0
6.811 0.000 0.000
0.000 5.461 0.000
0.000 0.000 5.149
Li In Si O
4 2 2 8
direct
0.249 0.167 0.000 Li
0.251 0.833 0.500 Li
0.749 0.833 0.500 Li
0.751 0.167 0.000 Li
0.000 0.676 0.992 In
0.500 0.324 0.492 In
0.000 0.313 0.508 Si
0.500 0.687 0.008 Si
0.000 0.289 0.831 O
0.000 0.613 0.440 O
0.195 0.176 0.384 O
0.305 0.824 0.884 O
0.500 0.387 0.940 O
0.500 0.711 0.331 O
0.695 0.824 0.884 O
0.805 0.176 0.384 O
```

The records above yield density of states at the Fermi level values of 1.501, 0.632, 0.556, 0.493, 0.336, 0.491, 0.620, 0.394, 0.943, 0.414, 0.661, 0.302, 0.257 states/eV/atom, respectively.